Compound: V3AsF
Source: the Alexandria database
Functional: GGA+U
Structure: optimized geometry

Properties
Crystal system: cubic
Relative energy among the computed polymorphs (eV/atom): 0.000
Theoretical density (g/cm³): 6.0

Cell lengths 4.0988, 4.0988, 4.0988 Å; angles 90.00, 90.00, 90.00 degrees
Last column: nearest neighbours and their distance in Å.
Space group Pm-3m (No. 221)
Inequivalent atoms, fractional coordinates:
V1 0.0000 0.0000 0.5000  2 F 2.05
As1 0.5000 0.5000 0.5000  12 V 2.90
F1 0.0000 0.0000 0.0000  6 V 2.05